Entry 1:
VASP calculation (PBE) on a relaxed structure of RbErGeS3.

Crystal system: monoclinic
Total DFT energy (no corrections): -61.19 eV/cell

abc: 8.544 3.905 10.859
angles: 90.00 110.19 90.00
Positions (direct):
Rb 0.230 0.750 0.272
Ge 0.134 0.750 0.563
S 0.878 0.250 0.225
S 0.404 0.250 0.103
S 0.596 0.750 0.897
S 0.329 0.250 0.585
S 0.671 0.750 0.415
S 0.122 0.750 0.775
Er 0.365 0.250 0.847
Rb 0.770 0.250 0.728
Ge 0.866 0.250 0.437
Er 0.635 0.750 0.153

Entry 2:
VASP calculation (PBE) on a relaxed structure of RbErGeSe3.

Crystal system: monoclinic
Total DFT energy (no corrections): -56.20 eV/cell

abc: 8.898 4.052 11.206
angles: 90.00 110.34 90.00
Positions (direct):
Rb 0.773 0.250 0.727
Se 0.671 0.750 0.421
Er 0.368 0.250 0.845
Er 0.632 0.750 0.155
Se 0.879 0.250 0.218
Ge 0.128 0.750 0.562
Se 0.397 0.250 0.104
Rb 0.227 0.750 0.273
Se 0.329 0.250 0.579
Se 0.603 0.750 0.896
Se 0.121 0.750 0.782
Ge 0.872 0.250 0.438

Entry 3:
VASP calculation (PBE) on a relaxed structure of RbErGeSe3.

Crystal system: orthorhombic
Total DFT energy (no corrections): -54.56 eV/cell

abc: 8.081 8.081 11.713
angles: 90.00 90.00 150.35
Positions (direct):
Se 0.471 0.529 0.750
Se 0.877 0.123 0.476
Rb 0.225 0.775 0.250
Se 0.123 0.877 0.524
Er 0.500 0.500 0.000
Ge 0.923 0.077 0.250
Er 0.500 0.500 0.500
Ge 0.077 0.923 0.750
Se 0.529 0.471 0.250
Rb 0.775 0.225 0.750
Se 0.877 0.123 0.024
Se 0.123 0.877 0.976

Entry 4:
VASP calculation (PBE) on a relaxed structure of ErReGe.

Crystal system: cubic
Total DFT energy (no corrections): -21.11 eV/cell

abc: 4.419 4.419 4.419
angles: 60.00 60.00 60.00
Positions (direct):
Ge 0.000 0.000 0.000
Re 0.750 0.750 0.750
Er 0.250 0.250 0.250

Entry 5:
VASP calculation (PBE) on a relaxed structure of ErTmReGe2.

Crystal system: monoclinic
Total DFT energy (no corrections): -67.12 eV/cell

abc: 5.854 5.854 10.052
angles: 115.88 115.88 42.11
Positions (direct):
Tm 0.993 0.993 0.323
Er 0.814 0.814 0.886
Re 0.272 0.272 0.632
Re 0.728 0.728 0.368
Ge 0.637 0.637 0.561
Ge 0.363 0.363 0.439
Ge 0.508 0.508 0.875
Er 0.186 0.186 0.114
Ge 0.492 0.492 0.125
Tm 0.007 0.007 0.677

Entry 6:
VASP calculation (PBE) on a relaxed structure of Er5GeSe5.

Crystal system: monoclinic
Total DFT energy (no corrections): -63.67 eV/cell

abc: 7.035 7.035 8.096
angles: 106.76 106.76 47.97
Positions (direct):
Se 0.669 0.669 0.835
Se 0.331 0.331 0.165
Er 0.160 0.160 0.829
Se 0.670 0.670 0.335
Ge 0.000 0.000 0.000
Er 0.838 0.838 0.670
Se 0.000 0.000 0.500
Er 0.500 0.500 0.000
Er 0.840 0.840 0.171
Er 0.162 0.162 0.330
Se 0.330 0.330 0.665

Entry 7:
VASP calculation (PBE) on a relaxed structure of Er2SiGe.

Crystal system: orthorhombic
Total DFT energy (no corrections): -22.50 eV/cell

abc: 3.862 5.686 5.686
angles: 43.89 90.00 90.00
Positions (direct):
Er 0.500 0.360 0.360
Si 0.500 0.083 0.083
Er 0.000 0.638 0.638
Ge 0.000 0.919 0.919

Entry 8:
VASP calculation (PBE) on a relaxed structure of ErSiGe.

Crystal system: trigonal
Total DFT energy (no corrections): -29.69 eV/cell

abc: 8.643 8.643 8.643
angles: 29.05 29.05 29.05
Positions (direct):
Si 0.723 0.723 0.723
Er 0.883 0.883 0.883
Er 0.117 0.117 0.117
Ge 0.378 0.378 0.378
Si 0.277 0.277 0.277
Ge 0.622 0.622 0.622

Entry 9:
VASP calculation (PBE) on a relaxed structure of ErSiGe.

Crystal system: cubic
Total DFT energy (no corrections): -14.82 eV/cell

abc: 4.613 4.613 4.613
angles: 60.00 60.00 60.00
Positions (direct):
Er 0.250 0.250 0.250
Si 0.000 0.000 0.000
Ge 0.750 0.750 0.750

Entry 10:
VASP calculation (PBE) on a relaxed structure of ErSiTc4Ge.

Crystal system: orthorhombic
Total DFT energy (no corrections): -59.19 eV/cell

abc: 4.064 7.320 7.320
angles: 32.49 90.00 90.00
Positions (direct):
Tc 0.000 0.698 0.698
Ge 0.500 0.583 0.583
Tc 0.500 0.191 0.191
Tc 0.000 0.307 0.307
Tc 0.500 0.814 0.814
Er 0.000 0.996 0.996
Si 0.500 0.410 0.410

Entry 11:
VASP calculation (PBE) on a relaxed structure of SmErGe.

Crystal system: cubic
Total DFT energy (no corrections): -15.48 eV/cell

abc: 4.914 4.914 4.914
angles: 60.00 60.00 60.00
Positions (direct):
Er 0.250 0.250 0.250
Sm 0.750 0.750 0.750
Ge 0.000 0.000 0.000

Entry 12:
VASP calculation (PBE) on a relaxed structure of SmErGe2.

Crystal system: orthorhombic
Total DFT energy (no corrections): -18.34 eV/cell

abc: 3.259 6.460 6.460
angles: 54.07 90.00 90.00
Positions (direct):
Ge 0.000 0.608 0.608
Er 0.000 0.849 0.849
Sm 0.000 0.148 0.148
Ge 0.000 0.395 0.395

Entry 13:
VASP calculation (PBE) on a relaxed structure of SmErZn2Ge2.

Crystal system: hexagonal
Total DFT energy (no corrections): -50.22 eV/cell

abc: 4.249 4.249 15.720
angles: 90.00 90.00 120.00
Positions (direct):
Ge 0.333 0.667 0.617
Sm 0.000 0.000 0.000
Ge 0.333 0.667 0.883
Zn 0.333 0.667 0.349
Zn 0.667 0.333 0.849
Zn 0.667 0.333 0.651
Ge 0.667 0.333 0.117
Er 0.000 0.000 0.750
Zn 0.333 0.667 0.151
Er 0.000 0.000 0.250
Sm 0.000 0.000 0.500
Ge 0.667 0.333 0.383

Entry 14:
VASP calculation (PBE) on a relaxed structure of ErSnGe.

Crystal system: orthorhombic
Total DFT energy (no corrections): -29.98 eV/cell

abc: 8.355 8.355 4.068
angles: 90.00 90.00 150.46
Positions (direct):
Ge 0.946 0.054 0.750
Ge 0.054 0.946 0.250
Sn 0.753 0.247 0.250
Er 0.406 0.594 0.250
Er 0.594 0.406 0.750
Sn 0.247 0.753 0.750

Entry 15:
VASP calculation (PBE) on a relaxed structure of ErSnGe.

Crystal system: cubic
Total DFT energy (no corrections): -13.54 eV/cell

abc: 4.939 4.939 4.939
angles: 60.00 60.00 60.00
Positions (direct):
Sn 0.750 0.750 0.750
Er 0.000 0.000 0.000
Ge 0.250 0.250 0.250

Entry 16:
VASP calculation (PBE) on a relaxed structure of Er2SnGe.

Crystal system: orthorhombic
Total DFT energy (no corrections): -20.72 eV/cell

abc: 4.083 5.932 5.932
angles: 43.24 90.00 90.00
Positions (direct):
Ge 0.500 0.906 0.906
Er 0.000 0.366 0.366
Sn 0.000 0.087 0.087
Er 0.500 0.642 0.642

Entry 17:
VASP calculation (PBE) on a relaxed structure of ErSnGe.

Crystal system: cubic
Total DFT energy (no corrections): -13.75 eV/cell

abc: 4.865 4.865 4.865
angles: 60.00 60.00 60.00
Positions (direct):
Sn 0.750 0.750 0.750
Er 0.250 0.250 0.250
Ge 0.000 0.000 0.000

Entry 18:
VASP calculation (PBE) on a relaxed structure of SrErGe.

Crystal system: cubic
Total DFT energy (no corrections): -11.99 eV/cell

abc: 5.081 5.081 5.081
angles: 60.00 60.00 60.00
Positions (direct):
Sr 0.750 0.750 0.750
Ge 0.000 0.000 0.000
Er 0.250 0.250 0.250

Entry 19:
VASP calculation (PBE) on a relaxed structure of SrErGe2.

Crystal system: orthorhombic
Total DFT energy (no corrections): -15.00 eV/cell

abc: 3.336 6.674 6.674
angles: 53.45 90.00 90.00
Positions (direct):
Sr 0.000 0.145 0.145
Ge 0.000 0.402 0.402
Ge 0.000 0.610 0.610
Er 0.000 0.843 0.843

Entry 20:
VASP calculation (PBE) on a relaxed structure of ErTaGe.

Crystal system: cubic
Total DFT energy (no corrections): -20.85 eV/cell

abc: 4.551 4.551 4.551
angles: 60.00 60.00 60.00
Positions (direct):
Er 0.250 0.250 0.250
Ge 0.000 0.000 0.000
Ta 0.750 0.750 0.750

Entry 21:
VASP calculation (PBE) on a relaxed structure of ErTaGe.

Crystal system: cubic
Total DFT energy (no corrections): -17.92 eV/cell

abc: 4.793 4.793 4.793
angles: 60.00 60.00 60.00
Positions (direct):
Ta 0.750 0.750 0.750
Ge 0.250 0.250 0.250
Er 0.000 0.000 0.000

Entry 22:
VASP calculation (PBE) on a relaxed structure of ErTmTa2Ge2.

Crystal system: tetragonal
Total DFT energy (no corrections): -45.54 eV/cell

abc: 4.006 4.006 7.741
angles: 90.00 90.00 90.00
Each line ends with the local moment (μB).
Positions (direct):
Tm 0.500 0.500 0.648  0.30
Er 0.000 0.000 0.353  0.30
Ge 0.500 0.500 0.250  -0.01
Ta 0.500 0.000 0.000  0.05
Ge 0.000 0.000 0.750  -0.01
Ta 0.000 0.500 0.000  0.05

Entry 23:
VASP calculation (PBE) on a relaxed structure of TbErGe.

Crystal system: cubic
Total DFT energy (no corrections): -15.41 eV/cell

abc: 4.866 4.866 4.866
angles: 60.00 60.00 60.00
Positions (direct):
Ge 0.000 0.000 0.000
Tb 0.750 0.750 0.750
Er 0.250 0.250 0.250

Entry 24:
VASP calculation (PBE) on a relaxed structure of TbErGe2.

Crystal system: orthorhombic
Total DFT energy (no corrections): -18.24 eV/cell

abc: 3.241 6.445 6.445
angles: 53.80 90.00 90.00
Positions (direct):
Tb 0.000 0.149 0.149
Er 0.000 0.850 0.850
Ge 0.000 0.607 0.607
Ge 0.000 0.394 0.394

Entry 25:
VASP calculation (PBE) on a relaxed structure of TbErGe2.

Crystal system: orthorhombic
Total DFT energy (no corrections): -43.78 eV/cell

abc: 3.937 5.776 7.959
angles: 90.00 90.00 90.00
Positions (direct):
Ge 0.500 0.106 0.542
Tb 0.500 0.368 0.180
Er 0.000 0.132 0.820
Ge 0.000 0.606 0.958
Ge 0.000 0.394 0.458
Tb 0.500 0.632 0.680
Ge 0.500 0.894 0.042
Er 0.000 0.868 0.320

Entry 26:
VASP calculation (PBE) on a relaxed structure of TbErZn2Ge2.

Crystal system: hexagonal
Total DFT energy (no corrections): -49.93 eV/cell

abc: 4.235 4.235 15.593
angles: 90.00 90.00 120.00
Positions (direct):
Zn 0.333 0.667 0.149
Er 0.000 0.000 0.750
Zn 0.667 0.333 0.851
Ge 0.667 0.333 0.386
Zn 0.667 0.333 0.649
Er 0.000 0.000 0.250
Tb 0.000 0.000 0.000
Zn 0.333 0.667 0.351
Ge 0.333 0.667 0.886
Ge 0.667 0.333 0.114
Ge 0.333 0.667 0.614
Tb 0.000 0.000 0.500

Entry 27:
VASP calculation (PBE) on a relaxed structure of Er2TcGe.

Crystal system: hexagonal
Total DFT energy (no corrections): -23.09 eV/cell

abc: 3.338 3.338 10.019
angles: 90.00 90.00 120.00
Positions (direct):
Er 0.000 0.000 0.294
Tc 0.667 0.333 0.500
Er 0.000 0.000 0.706
Ge 0.000 0.000 0.000